A geometry-optimized YMg2Sc structure. Source: the Alexandria database, functional GGA-PBE.

Summary:
E above lowest polymorph: 0.107 eV/atom
DOS at the Fermi energy: 5.7 states/eV/f.u.
electronic total energy: -0.1455 hartree per atom
total moment: 0.000 μB per atom

Lattice parameters (Å, degrees): 3.3955 3.3955 31.5585 90.00 90.00 120.00
Closest atoms and distances in Å follow each position.
Fractional coordinates of all 12 atoms:
Y1 0.0000 0.0000 0.0000  6 Mg 3.37, 6 Y 3.40
Y2 0.3333 0.6667 0.6667  6 Mg 3.37, 6 Y 3.40
Y3 0.6667 0.3333 0.3333  6 Mg 3.37, 6 Y 3.40
Mg1 0.0000 0.0000 0.2464  3 Sc 3.19, 3 Y 3.37, 6 Mg 3.40
Mg2 0.0000 0.0000 0.7536  3 Sc 3.19, 3 Y 3.37, 6 Mg 3.40
Mg3 0.3333 0.6667 0.4203  3 Sc 3.19, 3 Y 3.37, 6 Mg 3.40
Mg4 0.3333 0.6667 0.9131  3 Sc 3.19, 3 Y 3.37, 6 Mg 3.40
Mg5 0.6667 0.3333 0.0869  3 Sc 3.19, 3 Y 3.37, 6 Mg 3.40
Mg6 0.6667 0.3333 0.5797  3 Sc 3.19, 3 Y 3.37, 6 Mg 3.40
Sc1 0.0000 0.0000 0.5000  6 Mg 3.19, 6 Sc 3.40
Sc2 0.3333 0.6667 0.1667  6 Mg 3.19, 6 Sc 3.40
Sc3 0.6667 0.3333 0.8333  6 Mg 3.19, 6 Sc 3.40